Entry 1:
Density functional theory data (PBE) for a relaxed Ho4OsAu3 crystal.

Results
ΔH_f (0 K) (eV per atom): -0.709
Magnetization (μB/f.u.): 0.00

Structure (CIF):
```
data_Ho4OsAu3
_space_group_name_H-M_alt 'P 4/m m m'
_space_group_IT_number 123
_space_group_name_Hall '-P 4 2'
_cell_length_a 3.4918
_cell_length_b 3.4918
_cell_length_c 14.4966
_cell_angle_alpha 90.00
_cell_angle_beta 90.00
_cell_angle_gamma 90.00
loop_
_atom_site_label
_atom_site_type_symbol
_atom_site_fract_x
_atom_site_fract_y
_atom_site_fract_z
Ho1 Ho 0.0000 0.0000 0.1138
Ho2 Ho 0.0000 0.0000 0.3718
Os1 Os 0.5000 0.5000 0.0000
Au1 Au 0.5000 0.5000 0.2479
Au2 Au 0.5000 0.5000 0.5000
```

Entry 2:
Density functional theory data (PBE) for a relaxed HoPaOsAu crystal.

Results
ΔH_f (0 K) (eV per atom): -0.315
Magnetization (μB/f.u.): 0.00

Structure (CIF):
```
data_HoPaOsAu
_space_group_name_H-M_alt 'F -4 3 m'
_space_group_IT_number 216
_space_group_name_Hall 'F -4 2 3'
_cell_length_a 7.0195
_cell_length_b 7.0195
_cell_length_c 7.0195
_cell_angle_alpha 90.00
_cell_angle_beta 90.00
_cell_angle_gamma 90.00
loop_
_atom_site_label
_atom_site_type_symbol
_atom_site_fract_x
_atom_site_fract_y
_atom_site_fract_z
Ho1 Ho 0.0000 0.0000 0.0000
Pa1 Pa 0.0000 0.0000 0.5000
Os1 Os 0.2500 0.2500 0.2500
Au1 Au 0.2500 0.2500 0.7500
```

Entry 3:
Density functional theory data (PBE) for a relaxed PmHoOsAu crystal.

Results
ΔH_f (0 K) (eV per atom): -0.405
Magnetization (μB/f.u.): 0.00

Structure (CIF):
```
data_PmHoOsAu
_space_group_name_H-M_alt 'F -4 3 m'
_space_group_IT_number 216
_space_group_name_Hall 'F -4 2 3'
_cell_length_a 7.0710
_cell_length_b 7.0710
_cell_length_c 7.0710
_cell_angle_alpha 90.00
_cell_angle_beta 90.00
_cell_angle_gamma 90.00
loop_
_atom_site_label
_atom_site_type_symbol
_atom_site_fract_x
_atom_site_fract_y
_atom_site_fract_z
Pm1 Pm 0.0000 0.0000 0.0000
Ho1 Ho 0.0000 0.0000 0.5000
Os1 Os 0.2500 0.2500 0.2500
Au1 Au 0.2500 0.2500 0.7500
```

Entry 4:
Density functional theory data (PBE) for a relaxed PrHoOsAu crystal.

Results
ΔH_f (0 K) (eV per atom): -0.350
Magnetization (μB/f.u.): 0.00

Structure (CIF):
```
data_PrHoOsAu
_space_group_name_H-M_alt 'F -4 3 m'
_space_group_IT_number 216
_space_group_name_Hall 'F -4 2 3'
_cell_length_a 7.1262
_cell_length_b 7.1262
_cell_length_c 7.1262
_cell_angle_alpha 90.00
_cell_angle_beta 90.00
_cell_angle_gamma 90.00
loop_
_atom_site_label
_atom_site_type_symbol
_atom_site_fract_x
_atom_site_fract_y
_atom_site_fract_z
Pr1 Pr 0.0000 0.0000 0.0000
Ho1 Ho 0.0000 0.0000 0.5000
Os1 Os 0.2500 0.2500 0.2500
Au1 Au 0.2500 0.2500 0.7500
```

Question: magnetization of number 4 (PrHoOsAu)?
Answer: 0.00 μB/f.u.

Question: magnetization of number 4 (PrHoOsAu)?
Answer: 0.00 μB/f.u.

Copy entry 3 word for word.
Density functional theory data (PBE) for a relaxed PmHoOsAu crystal.

Results
ΔH_f (0 K) (eV per atom): -0.405
Magnetization (μB/f.u.): 0.00

Structure (CIF):
```
data_PmHoOsAu
_space_group_name_H-M_alt 'F -4 3 m'
_space_group_IT_number 216
_space_group_name_Hall 'F -4 2 3'
_cell_length_a 7.0710
_cell_length_b 7.0710
_cell_length_c 7.0710
_cell_angle_alpha 90.00
_cell_angle_beta 90.00
_cell_angle_gamma 90.00
loop_
_atom_site_label
_atom_site_type_symbol
_atom_site_fract_x
_atom_site_fract_y
_atom_site_fract_z
Pm1 Pm 0.0000 0.0000 0.0000
Ho1 Ho 0.0000 0.0000 0.5000
Os1 Os 0.2500 0.2500 0.2500
Au1 Au 0.2500 0.2500 0.7500
```